VASP calculation (GGA+U) on VIF3 after structural relaxation.

Unit cell a=4.269 b=4.269 c=4.269 alpha=90.00 beta=90.00 gamma=90.00
Element x y z (fractional)
V: 0.000 0.000 0.000
I: 0.500 0.500 0.500
F: 0.000 0.000 0.500
F: 0.000 0.500 0.000
F: 0.500 0.000 0.000

- N(E_F): 1.264 states/eV per atom
- E_tot: -4.552 eV/atom
- Polymorph energy (0 for the lowest one): 471 meV per atom
- Space-group type: Pm-3m (221)